Compound: AgH10C3N2O3
Source: OQMD via LeMat-Bulk
Functional: PBE
Structure: optimized geometry

Properties
- raw total energy (eV per formula unit) = -104.7

abc: 6.7204 7.1821 7.4803
angles: 61.69 81.17 77.68
With the nearest neighbours (Å) after each atom.
Space group P-1 (No. 2)
Asymmetric unit:
Ag 0.1607 0.4823 0.1839 [2 per cell]  2 N 2.14-2.15
H 0.0333 0.0904 0.1888 [2 per cell]  1 C 1.10
H 0.0705 0.7195 0.4716 [2 per cell]  1 N 1.04
H 0.1254 0.3488 0.5801 [2 per cell]  1 N 1.03
H 0.1480 0.9941 0.8944 [2 per cell]  1 C 1.10
H 0.1818 0.9893 0.4829 [2 per cell]  1 C 1.10
H 0.2517 0.6332 0.7899 [2 per cell]  1 N 1.03
H 0.3616 0.0671 0.5706 [2 per cell]  1 C 1.10
H 0.3640 0.2192 0.9636 [2 per cell]  1 O 1.00
H 0.3789 0.0039 0.1804 [2 per cell]  1 O 1.00
H 0.3991 0.7232 0.8831 [2 per cell]  1 N 1.04
C 0.1292 0.9209 0.7994 [2 per cell]  2 H 1.10
C 0.1983 0.0601 0.5801 [2 per cell]  2 H 1.10
C 0.4964 0.3970 0.6041 [2 per cell]  2 O 1.27
N 0.0854 0.2809 0.4991 [2 per cell]  2 H 1.03-1.04
N 0.2504 0.7040 0.8822 [2 per cell]  2 H 1.03-1.04
O 0.3320 0.3882 0.7154 [2 per cell]  1 C 1.27
O 0.3471 0.7466 0.3530 [2 per cell]  1 C 1.27
O 0.3826 0.1609 0.1115 [2 per cell]  2 H 1.00

=====

Compound: AgH8C7NO3
Source: OQMD via LeMat-Bulk
Functional: PBE
Structure: optimized geometry

Properties
- raw total energy (eV per formula unit) = -124.4

abc: 7.6774 8.0128 11.6449
angles: 90.00 90.00 90.00
With the nearest neighbours (Å) after each atom.
Space group P2_12_12_1 (No. 19)
Asymmetric unit:
Ag 0.1329 0.0032 0.2380 [4 per cell]  1 N 2.28, 2 O 2.33-2.44, 1 C 2.52
H 0.0005 0.3260 0.7603 [4 per cell]  1 C 1.09
H 0.1032 0.5631 0.4863 [4 per cell]  1 O 0.99
H 0.1093 0.8491 0.0217 [4 per cell]  1 C 1.09
H 0.1193 0.4316 0.9784 [4 per cell]  1 C 1.09
H 0.1253 0.8108 0.4284 [4 per cell]  1 N 1.03
H 0.1416 0.6559 0.6065 [4 per cell]  1 O 0.99
H 0.1753 0.1003 0.9230 [4 per cell]  1 N 1.04
H 0.1972 0.6591 0.1808 [4 per cell]  1 C 1.09
C 0.0280 0.5221 0.9434 [4 per cell]  1 H 1.09
C 0.0408 0.2429 0.6915 [4 per cell]  1 H 1.09
C 0.0781 0.6283 0.8539 [4 per cell]  3 C 1.40-1.50
C 0.1409 0.0280 0.5121 [4 per cell]  2 C 1.40-1.41, 1 N 1.41
C 0.2105 0.2489 0.6482 [4 per cell]  1 H 1.09
C 0.2386 0.8588 0.0592 [4 per cell]  1 H 1.09
C 0.2425 0.3838 0.3046 [4 per cell]  2 O 1.28
N 0.1912 0.9221 0.4213 [4 per cell]  2 H 1.03-1.04
O 0.0516 0.6343 0.5473 [4 per cell]  2 H 0.99
O 0.1366 0.4856 0.3523 [4 per cell]  1 C 1.28
O 0.2036 0.2983 0.2156 [4 per cell]  1 C 1.28

=====

Compound: AgH9C2N2O2
Source: OQMD via LeMat-Bulk
Functional: PBE
Structure: optimized geometry

Properties
- raw total energy (eV per formula unit) = -85.7

abc: 7.9381 12.0957 5.9457
angles: 90.00 107.87 90.00
With the nearest neighbours (Å) after each atom.
Space group P2_1/c (No. 14)
Asymmetric unit:
Ag 0.1303 0.2284 0.2776 [4 per cell]  2 N 2.11-2.12
H 0.0486 0.0572 0.7469 [4 per cell]  1 N 1.04
H 0.0891 0.6211 0.6410 [4 per cell]  1 N 1.04
H 0.1271 0.6237 0.9318 [4 per cell]  1 N 1.03
H 0.2373 0.0348 0.1703 [4 per cell]  1 N 1.03
H 0.2906 0.0363 0.4612 [4 per cell]  1 N 1.03
H 0.4083 0.7410 0.5763 [4 per cell]  1 C 1.10
H 0.4186 0.1530 0.9475 [4 per cell]  1 C 1.10
H 0.4198 0.0992 0.3272 [4 per cell]  1 N 1.04
H 0.4496 0.6156 0.7381 [4 per cell]  1 C 1.10
C 0.3138 0.5987 0.3653 [4 per cell]  2 O 1.27-1.28
C 0.4479 0.6540 0.5704 [4 per cell]  3 H 1.10
N 0.0283 0.6279 0.7715 [4 per cell]  3 H 1.03-1.04
N 0.2888 0.0843 0.3168 [4 per cell]  3 H 1.03-1.04
O 0.1707 0.5642 0.3964 [4 per cell]  1 C 1.28
O 0.3449 0.5915 0.1680 [4 per cell]  1 C 1.27

=====

Compound: Ag2P2H10C4NO7
Source: OQMD via LeMat-Bulk
Functional: PBE
Structure: optimized geometry

Properties
- raw total energy (eV per formula unit) = -148.0

abc: 5.5356 7.3178 12.0329
angles: 102.89 90.27 95.78
With the nearest neighbours (Å) after each atom.
Space group P-1 (No. 2)
Asymmetric unit:
Ag 0.2026 0.4549 0.1295 [2 per cell]  3 O 2.21-2.35
Ag 0.2095 0.9098 0.0144 [2 per cell]  5 O 2.21-2.40
P 0.0030 0.1432 0.2479 [2 per cell]  3 O 1.52-1.56
P 0.2584 0.2522 0.8738 [2 per cell]  3 O 1.51-1.56
H 0.0515 0.0757 0.5721 [2 per cell]  1 C 1.10
H 0.1272 0.3055 0.6607 [2 per cell]  1 C 1.09
H 0.1414 0.8318 0.3157 [2 per cell]  1 C 1.10
H 0.2354 0.5973 0.4303 [2 per cell]  1 C 1.10
H 0.2497 0.5248 0.6179 [2 per cell]  1 C 1.10
H 0.2948 0.2733 0.4339 [2 per cell]  1 N 1.07
H 0.4347 0.8173 0.5924 [2 per cell]  1 N 1.05
H 0.4685 0.0071 0.2560 [2 per cell]  1 O 1.02
H 0.4834 0.7392 0.3868 [2 per cell]  1 C 1.10
H 0.4914 0.3956 0.2915 [2 per cell]  1 C 1.09
C 0.0480 0.1619 0.6592 [2 per cell]  3 H 1.09-1.10
C 0.1877 0.0742 0.7402 [2 per cell]  1 O 1.44, 1 C 1.53
C 0.4339 0.6273 0.4322 [2 per cell]  2 H 1.10
C 0.4484 0.5480 0.6196 [2 per cell]  2 H 1.09-1.10
N 0.4870 0.3056 0.4463 [2 per cell]  2 H 1.05-1.07
O 0.0072 0.3108 0.9195 [2 per cell]  1 P 1.56
O 0.0305 0.2616 0.3695 [2 per cell]  1 P 1.52, 1 H 1.64
O 0.1219 0.7539 0.8331 [2 per cell]  1 P 1.56
O 0.2487 0.0816 0.1976 [2 per cell]  1 P 1.56, 1 H 1.60
O 0.3831 0.1595 0.9593 [2 per cell]  1 P 1.55
O 0.4138 0.0256 0.6882 [2 per cell]  1 H 1.02
O 0.4178 0.4155 0.8458 [2 per cell]  1 P 1.51

=====

Compound: AgP2H10C11N2O8
Source: OQMD via LeMat-Bulk
Functional: PBE
Structure: optimized geometry

Properties
- raw total energy (eV per formula unit) = -221.8

abc: 5.4570 10.8591 12.4440
angles: 90.00 108.53 90.00
With the nearest neighbours (Å) after each atom.
Space group P2/c (No. 13)
Asymmetric unit:
Ag 0.0000 0.1779 0.2500 [2 per cell]  2 N 2.17, 2 O 2.42
P 0.0456 0.4665 0.1618 [4 per cell]  3 O 1.51-1.60
H 0.0332 0.2192 0.9877 [4 per cell]  1 C 1.09
H 0.2356 0.4414 0.5055 [4 per cell]  1 O 1.02
H 0.2687 0.0572 0.8086 [4 per cell]  1 C 1.08
H 0.3133 0.1504 0.5963 [4 per cell]  1 C 1.09
H 0.4742 0.2945 0.0849 [4 per cell]  1 C 1.09
C 0.0000 0.2633 0.7500 [2 per cell]  2 O 1.18
C 0.1279 0.0257 0.0310 [4 per cell]  3 C 1.40-1.47
C 0.1796 0.1523 0.0310 [4 per cell]  1 H 1.09
C 0.3327 0.0509 0.5911 [4 per cell]  1 H 1.09
C 0.4272 0.1972 0.0858 [4 per cell]  1 H 1.09
C 0.4288 0.0009 0.3550 [4 per cell]  1 H 1.08
N 0.3801 0.1223 0.3575 [4 per cell]  2 C 1.34-1.35
O 0.1610 0.4209 0.6241 [4 per cell]  1 P 1.52, 1 H 1.67
O 0.2071 0.3510 0.1916 [4 per cell]  1 P 1.51
O 0.2147 0.2590 0.8108 [4 per cell]  1 C 1.18
O 0.2379 0.4410 0.4238 [4 per cell]  1 H 1.02

=====

Compound: Ag2H11C9SN4
Source: OQMD via LeMat-Bulk
Functional: PBE
Structure: optimized geometry

Properties
- raw total energy (eV per formula unit) = -162.5

abc: 4.2440 16.0058 17.7816
angles: 90.00 91.87 90.00
With the nearest neighbours (Å) after each atom.
Space group P2_1/c (No. 14)
Asymmetric unit:
Ag 0.0064 0.0149 0.2894 [4 per cell]  2 C 2.03-2.04
Ag 0.4711 0.7046 0.6008 [4 per cell]  2 N 2.22-2.26
H 0.1328 0.2074 0.7104 [4 per cell]  1 C 1.08
H 0.2156 0.1346 0.4897 [4 per cell]  1 C 1.10
H 0.2201 0.5096 0.9337 [4 per cell]  1 C 1.11
H 0.2617 0.0957 0.5830 [4 per cell]  1 C 1.10
H 0.2716 0.6591 0.8878 [4 per cell]  1 C 1.10
H 0.2807 0.7047 0.9796 [4 per cell]  1 C 1.10
H 0.2886 0.0060 0.0746 [4 per cell]  1 C 1.10
H 0.2903 0.5510 0.0248 [4 per cell]  1 C 1.10
H 0.3750 0.5609 0.4585 [4 per cell]  1 C 1.10
H 0.3925 0.5311 0.3614 [4 per cell]  1 C 1.09
H 0.4793 0.1466 0.2236 [4 per cell]  1 C 1.08
C 0.0861 0.1119 0.5383 [4 per cell]  2 H 1.10
C 0.1023 0.5342 0.9837 [4 per cell]  2 H 1.10-1.11
C 0.1249 0.6816 0.9335 [4 per cell]  2 H 1.10
C 0.1463 0.1788 0.0575 [4 per cell]  2 N 1.37
C 0.1770 0.2441 0.1696 [4 per cell]  1 H 1.08
C 0.2369 0.6092 0.1619 [4 per cell]  1 N 1.17
C 0.2465 0.5781 0.7384 [4 per cell]  1 N 1.17
C 0.3456 0.1720 0.1761 [4 per cell]  1 H 1.08
C 0.4700 0.0528 0.0892 [4 per cell]  3 H 1.09-1.10
S 0.0620 0.1514 0.9662 [4 per cell]  1 C 1.71
N 0.0546 0.2476 0.0966 [4 per cell]  3 C 1.37-1.46
N 0.3244 0.1321 0.1072 [4 per cell]  3 C 1.37-1.45
N 0.3732 0.6643 0.1342 [4 per cell]  1 C 1.17
N 0.3821 0.6304 0.7064 [4 per cell]  1 C 1.17

=====

Which of these has the highest raw total energy?
AgH9C2N2O2